[1]
Here is ErAl3 after structural relaxation from the Open Quantum Materials Database. Energies are from PBE-GGA.

Computed properties:
E_tot: -4.37 eV per atom
Total magnetic moment: 0.00 μB per formula unit

a = 6.0620 Å, b = 6.0620 Å, c = 35.8567 Å
α = 90.00°, β = 90.00°, γ = 120.00°
Closest atoms and distances in Å follow each position.
Space group R-3m (No. 166, hexagonal axes)
Unique sites:
Er (0.0000, 0.0000, 0.0000) (multiplicity 3)  12 Al 3.03-3.05
Er (0.0000, 0.0000, 0.1313) (multiplicity 6)  12 Al 3.00-3.03
Er (0.0000, 0.0000, 0.4000) (multiplicity 6)  12 Al 2.96-3.04
Al (0.0000, 0.5000, 0.0000) (multiplicity 9)  8 Al 2.91-3.03, 4 Er 2.96-3.03
Al (0.0031, 0.5016, 0.8663) (multiplicity 18)  8 Al 2.94-3.06, 4 Er 2.98-3.03
Al (0.0311, 0.5155, 0.3996) (multiplicity 18)  6 Al 2.75-2.94, 4 Er 3.02-3.05

[2]
Here is DyTmPbC after structural relaxation from the Open Quantum Materials Database. Energies are from PBE-GGA.

Computed properties:
E_tot: -6.02 eV per atom
Total magnetic moment: 0.01 μB per formula unit

a = 3.6118 Å, b = 3.6118 Å, c = 15.9959 Å
α = 90.00°, β = 90.00°, γ = 120.00°
Closest atoms and distances in Å follow each position.
Space group P6_3mc (No. 186)
Unique sites:
Dy (0.3333, 0.6667, 0.0000) (multiplicity 2)  3 C 2.48
Tm (0.3333, 0.6667, 0.3354) (multiplicity 2)  3 C 2.45
Pb (0.3333, 0.6667, 0.6688) (multiplicity 2)  3 Tm 3.38, 3 Dy 3.41, 6 Pb 3.61
C (0.0000, 0.0000, 0.4162) (multiplicity 2)  3 Tm 2.45, 3 Dy 2.48